(1)
DFT (PBEsol) results for crystalline Cr2TePtAu at its relaxed geometry.

abc: 4.924 4.924 4.979
angles: 90.00 90.00 90.00
Sites, in units of the cell vectors:
Cr (0.000, 0.500, 0.000)
Cr (0.500, 0.000, 0.000)
Te (0.000, 0.000, 0.000)
Pt (0.500, 0.500, 0.500)
Au (0.000, 0.000, 0.500)

Formation energy from raw total energies, eV per atom: 1.43
Space group: No. 123

***

(2)
DFT (PBEsol) results for crystalline AsPOsCl2 at its relaxed geometry.

abc: 4.586 4.586 5.125
angles: 90.00 90.00 90.00
Sites, in units of the cell vectors:
As (0.000, 0.000, 0.000)
P (0.000, 0.000, 0.500)
Os (0.500, 0.500, 0.500)
Cl (0.000, 0.500, 0.000)
Cl (0.500, 0.000, 0.000)

Formation energy from raw total energies, eV per atom: 1.48
Space group: No. 123

***

(3)
DFT (PBEsol) results for crystalline Os3CI at its relaxed geometry.

abc: 4.152 4.152 4.152
angles: 90.00 90.00 90.00
Sites, in units of the cell vectors:
Os (0.000, 0.000, 0.500)
Os (0.000, 0.500, 0.000)
Os (0.500, 0.000, 0.000)
C (0.000, 0.000, 0.000)
I (0.500, 0.500, 0.500)

Formation energy from raw total energies, eV per atom: 1.25
Space group: No. 221

***

(4)
DFT (PBEsol) results for crystalline HfVGe at its relaxed geometry.

abc: 3.650 3.650 7.200
angles: 90.00 90.00 90.00
Sites, in units of the cell vectors:
Hf (0.250, 0.250, 0.138)
Hf (0.750, 0.750, 0.862)
V (0.250, 0.750, 0.500)
V (0.750, 0.250, 0.500)
Ge (0.250, 0.250, 0.750)
Ge (0.750, 0.750, 0.250)

Space group: No. 129
Energy relative to the elements, kJ/mol of formula units: -197

***

(5)
DFT (PBEsol) results for crystalline Sc2CuHgB at its relaxed geometry.

abc: 4.600 4.600 4.220
angles: 90.00 90.00 90.00
Sites, in units of the cell vectors:
Sc (0.000, 0.500, 0.000)
Sc (0.500, 0.000, 0.000)
Cu (0.000, 0.000, 0.500)
Hg (0.500, 0.500, 0.500)
B (0.500, 0.500, 0.000)

Space group: No. 123
Energy relative to the elements, kJ/mol of formula units: 21

***

(6)
DFT (PBEsol) results for crystalline DyGePd at its relaxed geometry.

abc: 11.218 11.218 11.218
angles: 157.69 45.52 140.85
Sites, in units of the cell vectors:
Dy (0.000, 0.000, 0.000)
Dy (0.246, 0.079, 0.167)
Dy (0.331, 0.998, 0.333)
Dy (0.585, 0.085, 0.500)
Dy (0.665, 0.998, 0.667)
Dy (0.911, 0.079, 0.833)
Ge (0.317, 0.381, 0.935)
Ge (0.446, 0.381, 0.065)
Ge (0.462, 0.697, 0.765)
Ge (0.785, 0.380, 0.405)
Ge (0.932, 0.697, 0.235)
Ge (0.975, 0.380, 0.595)
Pd (0.100, 0.368, 0.732)
Pd (0.140, 0.712, 0.428)
Pd (0.283, 0.712, 0.572)
Pd (0.603, 0.708, 0.895)
Pd (0.636, 0.368, 0.268)
Pd (0.812, 0.708, 0.105)

Space group: No. 44
Energy relative to the elements, kJ/mol of formula units: -300

***

(7)
DFT (PBEsol) results for crystalline CuIrPt2 at its relaxed geometry.

abc: 2.690 2.690 9.121
angles: 90.00 90.00 120.36
Sites, in units of the cell vectors:
Cu (0.000, 0.000, 0.000)
Ir (0.000, 0.000, 0.500)
Pt (0.500, 0.500, 0.241)
Pt (0.500, 0.500, 0.759)

Space group: No. 65
Energy relative to the elements, kJ/mol of formula units: 41

***

(8)
DFT (PBEsol) results for crystalline CeEr3S6 at its relaxed geometry.

abc: 10.840 3.885 11.115
angles: 90.00 108.78 90.00
Sites, in units of the cell vectors:
Ce (0.049, 0.250, 0.195)
Ce (0.951, 0.750, 0.805)
Er (0.159, 0.250, 0.585)
Er (0.321, 0.750, 0.000)
Er (0.440, 0.250, 0.333)
Er (0.560, 0.750, 0.667)
Er (0.679, 0.250, 0.000)
Er (0.841, 0.750, 0.415)
S (0.084, 0.750, 0.405)
S (0.119, 0.250, 0.964)
S (0.194, 0.750, 0.751)
S (0.263, 0.750, 0.228)
S (0.393, 0.250, 0.558)
S (0.482, 0.250, 0.114)
S (0.518, 0.750, 0.886)
S (0.607, 0.750, 0.442)
S (0.737, 0.250, 0.772)
S (0.806, 0.250, 0.249)
S (0.881, 0.750, 0.036)
S (0.916, 0.250, 0.595)

Formation energy from raw total energies, eV per atom: -2.10
Space group: No. 11